[1]
DFT (GGA-PBE) results for crystalline NaTl2RePt at its relaxed geometry.

The structure in extended XYZ format:
```
5
Lattice="5.2819 0.0000 0.0000 0.0000 5.2819 0.0000 0.0000 0.0000 5.4203" Properties=species:S:1:pos:R:3 pbc="T T T"
Na 0.0000 0.0000 0.0000
Tl 0.0000 2.6409 2.7102
Tl 2.6409 0.0000 2.7102
Re 0.0000 0.0000 2.7102
Pt 2.6409 2.6409 0.0000
```

Results
Energy in eV per cell: -17.51
DOS at the Fermi energy in states/eV/f.u.: 5.208
Formation energy from the elements in meV per atom: 1407

[2]
DFT (GGA-PBE) results for crystalline Na2VRePt at its relaxed geometry.

The structure in extended XYZ format:
```
5
Lattice="5.3751 0.0000 0.0000 0.0000 5.3751 0.0000 0.0000 0.0000 4.2900" Properties=species:S:1:pos:R:3 pbc="T T T"
Na 0.0000 2.6876 0.0000
Na 2.6876 0.0000 0.0000
V 0.0000 0.0000 2.1450
Re 0.0000 0.0000 0.0000
Pt 2.6876 2.6876 2.1450
```

Results
Energy in eV per cell: -21.98
DOS at the Fermi energy in states/eV/f.u.: 2.422
Formation energy from the elements in meV per atom: 1653

[3]
DFT (GGA-PBE) results for crystalline NaVRePt2 at its relaxed geometry.

The structure in extended XYZ format:
```
5
Lattice="4.6029 0.0000 0.0000 0.0000 4.6029 0.0000 0.0000 0.0000 4.5690" Properties=species:S:1:pos:R:3 pbc="T T T"
Na 0.0000 0.0000 0.0000
V 0.0000 0.0000 2.2845
Re 2.3014 2.3014 0.0000
Pt 0.0000 2.3014 2.2845
Pt 2.3014 0.0000 2.2845
```

Results
Energy in eV per cell: -27.23
DOS at the Fermi energy in states/eV/f.u.: 4.962
Formation energy from the elements in meV per atom: 1548

[4]
DFT (GGA-PBE) results for crystalline NaZrRe2Pt at its relaxed geometry.

The structure in extended XYZ format:
```
5
Lattice="4.9490 0.0000 0.0000 0.0000 4.9490 0.0000 0.0000 0.0000 5.0742" Properties=species:S:1:pos:R:3 pbc="T T T"
Na 0.0000 0.0000 0.0000
Zr 2.4745 2.4745 2.5371
Re 0.0000 2.4745 2.5371
Re 2.4745 0.0000 2.5371
Pt 2.4745 2.4745 0.0000
```

Results
Energy in eV per cell: -31.69
DOS at the Fermi energy in states/eV/f.u.: 5.071
Formation energy from the elements in meV per atom: 1822

[5]
DFT (GGA-PBE) results for crystalline Na3PtRh at its relaxed geometry.

The structure in extended XYZ format:
```
5
Lattice="5.0899 0.0000 0.0000 0.0000 5.0899 0.0000 0.0000 0.0000 5.0899" Properties=species:S:1:pos:R:3 pbc="T T T"
Na 0.0000 0.0000 2.5450
Na 0.0000 2.5450 0.0000
Na 2.5450 0.0000 0.0000
Pt 2.5450 2.5450 2.5450
Rh 0.0000 0.0000 0.0000
```

Results
Distance to the lowest polymorph of the same formula in meV per atom: 152
Energy in eV per cell: -12.61
DOS at the Fermi energy in states/eV/f.u.: 4.941
Formation energy from the elements in meV per atom: 948

[6]
DFT (GGA-PBE) results for crystalline NaPt2Rh2 at its relaxed geometry.

The structure in extended XYZ format:
```
10
Lattice="7.8554 0.0000 0.0000 0.0000 7.8554 0.0000 0.0000 0.0000 2.7160" Properties=species:S:1:pos:R:3 pbc="T T T"
Na 0.0000 0.0000 0.0000
Na 3.9277 3.9277 0.0000
Pt 1.4244 2.5033 1.3580
Pt 2.5033 6.4310 1.3580
Pt 5.3521 1.4244 1.3580
Pt 6.4310 5.3521 1.3580
Rh 0.9228 4.8505 0.0000
Rh 3.0049 0.9228 0.0000
Rh 4.8505 6.9326 0.0000
Rh 6.9326 3.0049 0.0000
```

Results
Distance to the lowest polymorph of the same formula in meV per atom: 0
Energy in eV per cell: -56.42
DOS at the Fermi energy in states/eV/f.u.: 7.175
Formation energy from the elements in meV per atom: -22

[7]
DFT (GGA-PBE) results for crystalline NaPtRh3 at its relaxed geometry.

The structure in extended XYZ format:
```
5
Lattice="4.4448 0.0000 0.0000 0.0000 4.4448 0.0000 0.0000 0.0000 4.4448" Properties=species:S:1:pos:R:3 pbc="T T T"
Na 0.0000 0.0000 0.0000
Pt 2.2224 2.2224 2.2224
Rh 0.0000 0.0000 2.2224
Rh 0.0000 2.2224 0.0000
Rh 2.2224 0.0000 0.0000
```

Results
Distance to the lowest polymorph of the same formula in meV per atom: 638
Energy in eV per cell: -20.77
DOS at the Fermi energy in states/eV/f.u.: 6.085
Formation energy from the elements in meV per atom: 1729

[8]
DFT (GGA-PBE) results for crystalline NaPt2Rh2 at its relaxed geometry.

The structure in extended XYZ format:
```
10
Lattice="7.8599 0.0000 0.0000 0.0000 7.8599 0.0000 0.0000 0.0000 2.7209" Properties=species:S:1:pos:R:3 pbc="T T T"
Na 0.0000 0.0000 0.0000
Na 3.9300 3.9300 0.0000
Pt 0.9671 2.9629 0.0000
Pt 2.9629 6.8928 0.0000
Pt 4.8970 0.9671 0.0000
Pt 6.8928 4.8970 0.0000
Rh 1.3825 5.3124 1.3605
Rh 2.5475 1.3825 1.3605
Rh 5.3124 6.4774 1.3605
Rh 6.4774 2.5475 1.3605
```

Results
Distance to the lowest polymorph of the same formula in meV per atom: 51
Energy in eV per cell: -55.91
DOS at the Fermi energy in states/eV/f.u.: 8.182
Formation energy from the elements in meV per atom: 30

[9]
DFT (GGA-PBE) results for crystalline Na2PtRh at its relaxed geometry.

The structure in extended XYZ format:
```
4
Lattice="0.0000 3.2699 3.2699 3.2699 0.0000 3.2699 3.2699 3.2699 0.0000" Properties=species:S:1:pos:R:3 pbc="T T T"
Na 1.6350 1.6350 1.6350
Na 4.9049 4.9049 4.9049
Pt 0.0000 0.0000 0.0000
Rh 3.2699 3.2699 3.2699
```

Results
Distance to the lowest polymorph of the same formula in meV per atom: 0
Energy in eV per cell: -14.27
DOS at the Fermi energy in states/eV/f.u.: 2.842
Formation energy from the elements in meV per atom: 439

[10]
DFT (GGA-PBE) results for crystalline Na2PtRh at its relaxed geometry.

The structure in extended XYZ format:
```
8
Lattice="-3.9692 3.9692 2.5290 3.9692 -3.9692 2.5290 3.9692 3.9692 -2.5290" Properties=species:S:1:pos:R:3 pbc="T T T"
Na 1.9846 1.9688 -0.6322
Na 2.0005 -1.9846 3.1612
Na 1.9846 2.0005 1.8967
Na 1.9688 5.9539 0.6322
Pt 0.0000 0.0000 0.0000
Pt 0.0000 3.9692 1.2645
Rh 3.9692 0.0000 1.2645
Rh 0.0000 0.0000 2.5290
```

Results
Distance to the lowest polymorph of the same formula in meV per atom: 26
Energy in eV per cell: -28.34
DOS at the Fermi energy in states/eV/f.u.: 4.216
Formation energy from the elements in meV per atom: 465

[11]
DFT (GGA-PBE) results for crystalline NaPtRh3 at its relaxed geometry.

The structure in extended XYZ format:
```
5
Lattice="4.8660 0.0000 0.0000 0.0000 4.8660 0.0000 0.0000 0.0000 4.8660" Properties=species:S:1:pos:R:3 pbc="T T T"
Na 0.0000 0.0000 0.0000
Pt 2.4330 2.4330 2.4330
Rh 0.0000 2.4330 2.4330
Rh 2.4330 0.0000 2.4330
Rh 2.4330 2.4330 0.0000
```

Results
Distance to the lowest polymorph of the same formula in meV per atom: 0
Energy in eV per cell: -23.96
DOS at the Fermi energy in states/eV/f.u.: 6.394
Formation energy from the elements in meV per atom: 1091

[12]
DFT (GGA-PBE) results for crystalline NaPtRh2 at its relaxed geometry.

The structure in extended XYZ format:
```
8
Lattice="-1.9134 1.9134 9.2708 1.9134 -1.9134 9.2708 1.9134 1.9134 -9.2708" Properties=species:S:1:pos:R:3 pbc="T T T"
Na 0.0000 0.0000 0.0000
Na 0.0000 1.9134 4.6354
Pt 1.9134 0.0000 4.6354
Pt 0.0000 0.0000 9.2708
Rh 0.9567 -0.8796 6.9531
Rh 1.0338 0.9567 2.3177
Rh 0.9567 2.7930 -2.3177
Rh 0.8796 0.9567 11.5885
```

Results
Distance to the lowest polymorph of the same formula in meV per atom: 203
Energy in eV per cell: -39.75
DOS at the Fermi energy in states/eV/f.u.: 6.475
Formation energy from the elements in meV per atom: 547

[13]
DFT (GGA-PBE) results for crystalline NaPt2Rh at its relaxed geometry.

The structure in extended XYZ format:
```
8
Lattice="-2.4132 2.4132 8.5993 2.4132 -2.4132 8.5993 2.4132 2.4132 -8.5993" Properties=species:S:1:pos:R:3 pbc="T T T"
Na 0.0000 0.0000 0.0000
Na 0.0000 2.4132 4.2997
Pt 1.2066 -0.3701 6.4495
Pt 2.0431 1.2066 2.1498
Pt 1.2066 2.7834 -2.1498
Pt 0.3701 1.2066 10.7491
Rh 2.4132 0.0000 4.2997
Rh 0.0000 0.0000 8.5993
```

Results
Energy in eV per cell: -37.52
DOS at the Fermi energy in states/eV/f.u.: 3.151
Formation energy from the elements in meV per atom: 498

[14]
DFT (GGA-PBE) results for crystalline Na3PtRh at its relaxed geometry.

The structure in extended XYZ format:
```
5
Lattice="5.3496 0.0000 0.0000 0.0000 5.3496 0.0000 0.0000 0.0000 5.3496" Properties=species:S:1:pos:R:3 pbc="T T T"
Na 0.0000 0.0000 2.6748
Na 0.0000 2.6748 0.0000
Na 2.6748 0.0000 0.0000
Pt 0.0000 0.0000 0.0000
Rh 2.6748 2.6748 2.6748
```

Results
Distance to the lowest polymorph of the same formula in meV per atom: 0
Energy in eV per cell: -13.37
DOS at the Fermi energy in states/eV/f.u.: 5.972
Formation energy from the elements in meV per atom: 796